[1]
Density functional theory data (PBE) for a relaxed BeTc3Sn crystal.

Values from the calculation:
**Total moment**: 5.2 μB/cell
**ΔH_f (0 K)**: 12.10 eV/f.u.
**E**: -5.35 eV per atom
**Crystal system**: cubic
**Energy above the lowest structure with this stoichiometry**: 918 kJ/mol of formula units

abc: 4.8815 4.8815 4.8815
angles: 90.00 90.00 90.00
Space group Pm-3m (No. 221)
Asymmetric unit:
Be 0.0000 0.0000 0.0000 x1
Tc 0.0000 0.5000 0.5000 x3
Sn 0.5000 0.5000 0.5000 x1

---

[2]
Density functional theory data (PBE) for a relaxed BeZnTc2Sn crystal.

Values from the calculation:
**Total moment**: 1.5 μB/cell
**ΔH_f (0 K)**: 5.06 eV/f.u.
**E**: -4.93 eV per atom
**Crystal system**: tetragonal

abc: 4.6638 4.6638 3.8630
angles: 90.00 90.00 90.00
Space group P4/mmm (No. 123)
Asymmetric unit:
Be 0.0000 0.0000 0.0000 x1
Zn 0.0000 0.0000 0.5000 x1
Tc 0.0000 0.5000 0.5000 x2
Sn 0.5000 0.5000 0.0000 x1

---

[3]
Density functional theory data (PBE) for a relaxed BeSn3Te crystal.

Values from the calculation:
**Total moment**: 0.0 μB/cell
**E**: -3.55 eV per atom
**Crystal system**: cubic
**Energy above the lowest structure with this stoichiometry**: 0 kJ/mol of formula units
**Uncorrected formation energy**: 0.222 eV per atom

abc: 5.0470 5.0470 5.0470
angles: 90.00 90.00 90.00
Space group Pm-3m (No. 221)
Asymmetric unit:
Be 0.0000 0.0000 0.0000 x1
Sn 0.0000 0.0000 0.5000 x3
Te 0.5000 0.5000 0.5000 x1

---

[4]
Density functional theory data (PBE) for a relaxed BeSn2Te crystal.

Values from the calculation:
**Total moment**: 0.0 μB/cell
**E**: -3.60 eV per atom
**Crystal system**: tetragonal
**Energy above the lowest structure with this stoichiometry**: 0 kJ/mol of formula units
**Uncorrected formation energy**: 0.114 eV per atom

abc: 6.1830 6.1830 12.4046
angles: 90.00 90.00 90.00
Space group I-42d (No. 122)
Asymmetric unit:
Be 0.0000 0.0000 0.0000 x4
Sn 0.1703 0.2500 0.1250 x8
Te 0.0000 0.0000 0.5000 x4

---

[5]
Density functional theory data (PBE) for a relaxed Be2SnTe4 crystal.

Values from the calculation:
**Total moment**: 0.0 μB/cell
**E**: -3.11 eV per atom
**Crystal system**: tetragonal
**Uncorrected formation energy**: 0.324 eV per atom

abc: 5.5748 5.5748 13.4491
angles: 90.00 90.00 90.00
Space group I4/mmm (No. 139)
Asymmetric unit:
Be 0.0000 0.0000 0.0788 x4
Sn 0.0000 0.0000 0.5000 x2
Te 0.0000 0.0000 0.2506 x4
Te 0.0000 0.5000 0.0000 x4

---

[6]
Density functional theory data (PBE) for a relaxed BeSnTe crystal.

Values from the calculation:
**Total moment**: 0.0 μB/cell
**E**: -3.65 eV per atom
**Crystal system**: monoclinic
**Uncorrected formation energy**: -0.027 eV per atom

abc: 6.8842 3.9786 12.0278
angles: 90.00 99.23 90.00
Space group C2/m (No. 12)
Asymmetric unit:
Be 0.2302 0.0000 0.2924 x4
Sn 0.1890 0.0000 0.0806 x4
Te 0.0870 0.0000 0.6492 x4

---

[7]
Density functional theory data (PBE) for a relaxed BeSn2Te crystal.

Values from the calculation:
**Total moment**: 0.0 μB/cell
**E**: -3.16 eV per atom
**Crystal system**: cubic
**Energy above the lowest structure with this stoichiometry**: 173 kJ/mol of formula units
**Uncorrected formation energy**: 0.563 eV per atom

abc: 7.3818 7.3818 7.3818
angles: 90.00 90.00 90.00
Space group Fm-3m (No. 225)
Asymmetric unit:
Be 0.0000 0.0000 0.0000 x4
Sn 0.2500 0.2500 0.2500 x8
Te 0.0000 0.0000 0.5000 x4

---

[8]
Density functional theory data (PBE) for a relaxed BeSn3Te crystal.

Values from the calculation:
**Total moment**: 0.0 μB/cell
**E**: -2.59 eV per atom
**Crystal system**: cubic
**Energy above the lowest structure with this stoichiometry**: 466 kJ/mol of formula units
**Uncorrected formation energy**: 1.188 eV per atom

abc: 5.8744 5.8744 5.8744
angles: 90.00 90.00 90.00
Space group Pm-3m (No. 221)
Asymmetric unit:
Be 0.0000 0.0000 0.0000 x1
Sn 0.0000 0.5000 0.5000 x3
Te 0.5000 0.5000 0.5000 x1